The following is a DFT calculation (PBE with a Hubbard U) of a relaxed structure of Na3Tl3CrO8.

Summary:
Electronic total energy ... -5.029 eV per atom
Magnetic moment ... 0.13 μB/atom

Cell lengths 11.511, 6.647, 6.775 Å; angles 90.00, 124.61, 90.00 degrees
Space group C2/m (No. 12)
Inequivalent atoms, fractional coordinates:
Na 0.000 0.000 0.000 [2 per cell]
Na 0.250 0.250 0.000 [4 per cell]
Tl 0.000 0.500 0.500 [2 per cell]
Tl 0.250 0.250 0.500 [4 per cell]
Cr 0.000 0.000 0.500 [2 per cell]
O 0.006 0.217 0.301 [8 per cell]
O 0.206 0.000 0.699 [4 per cell]
O 0.244 0.500 0.724 [4 per cell]